Here is an optimized crystal structure of Cs3H2I2Br4 from Alexandria. Energies are from GGA-PBE.

## Properties
- raw total energy (eV per atom) = -2.273
- calculated volume (A^3/atom) = 36.46

Structure (CIF):
```
data_Cs3H2I2Br4
_space_group_name_H-M_alt 'I 4/m m m'
_space_group_IT_number 139
_space_group_name_Hall '-I 4 2'
_cell_length_a 4.8706
_cell_length_b 4.8706
_cell_length_c 33.8112
_cell_angle_alpha 90.00
_cell_angle_beta 90.00
_cell_angle_gamma 90.00
loop_
_atom_site_label
_atom_site_type_symbol
_atom_site_fract_x
_atom_site_fract_y
_atom_site_fract_z
Cs1 Cs 0.0000 0.0000 0.0000
Cs2 Cs 0.0000 0.0000 0.1653
H1 H 0.0000 0.0000 0.4195
I1 I 0.0000 0.0000 0.2830
Br1 Br 0.0000 0.5000 0.0804
```

Here is an optimized crystal structure of CaAcP2O6 from Alexandria. Energies are from GGA-PBE.

## Properties
- raw total energy (eV per atom) = -7.151
- formation energy (no corrections) (eV/atom) = -2.483
- calculated volume (A^3/atom) = 15.79

Structure (CIF):
```
data_CaAcP2O6
_space_group_name_H-M_alt 'R -3'
_space_group_IT_number 148
_space_group_name_Hall '-R 3'
_cell_length_a 5.2650
_cell_length_b 5.2650
_cell_length_c 19.7274
_cell_angle_alpha 90.00
_cell_angle_beta 90.00
_cell_angle_gamma 120.00
loop_
_atom_site_label
_atom_site_type_symbol
_atom_site_fract_x
_atom_site_fract_y
_atom_site_fract_z
Ca1 Ca 0.0000 0.0000 0.0000
Ac1 Ac 0.0000 0.0000 0.5000
P1 P 0.0000 0.0000 0.2355
O1 O 0.0149 0.2906 0.2610
```

Here is an optimized crystal structure of Zr6ZnPd5 from Alexandria. Energies are from GGA-PBE.

## Properties
- raw total energy (eV per atom) = -7.081
- calculated volume (A^3/atom) = 18.93
- formation enthalpy at 0 K (meV per atom) = -537

Structure (CIF):
```
data_Zr6ZnPd5
_space_group_name_H-M_alt 'P -1'
_space_group_IT_number 2
_cell_length_a 4.7995
_cell_length_b 6.9539
_cell_length_c 7.9152
_cell_angle_alpha 115.79
_cell_angle_beta 105.35
_cell_angle_gamma 90.34
loop_
_space_group_symop_operation_xyz
'x,y,z'
'-x,-y,-z'
loop_
_atom_site_label
_atom_site_type_symbol
_atom_site_fract_x
_atom_site_fract_y
_atom_site_fract_z
Zr1 Zr 0.0081 0.2674 0.0393
Zr2 Zr 0.2969 0.0788 0.6753
Zr3 Zr 0.3164 0.5677 0.6433
Zn1 Zn 0.5000 0.5000 0.0000
Pd1 Pd 0.2176 0.6949 0.3128
Pd2 Pd 0.2187 0.1332 0.3311
Pd3 Pd 0.5000 0.0000 0.0000
```

Here is an optimized crystal structure of Ba2TlPb3Au4 from Alexandria. Energies are from GGA-PBE.

## Properties
- raw total energy (eV per atom) = -3.478
- calculated volume (A^3/atom) = 29.39
- formation enthalpy at 0 K (meV per atom) = -433

Structure (CIF):
```
data_Ba2TlPb3Au4
_space_group_name_H-M_alt 'P -4 m 2'
_space_group_IT_number 115
_cell_length_a 5.0130
_cell_length_b 5.0130
_cell_length_c 11.6956
_cell_angle_alpha 90.00
_cell_angle_beta 90.00
_cell_angle_gamma 90.00
loop_
_space_group_symop_operation_xyz
'x,y,z'
'y,-x,-z'
'-x,-y,z'
'-y,x,-z'
'-x,y,z'
'-y,-x,-z'
'x,-y,z'
'y,x,-z'
loop_
_atom_site_label
_atom_site_type_symbol
_atom_site_fract_x
_atom_site_fract_y
_atom_site_fract_z
Ba1 Ba 0.0000 0.5000 0.2380
Tl1 Tl 0.0000 0.0000 0.5000
Pb1 Pb 0.0000 0.5000 0.8760
Pb2 Pb 0.5000 0.5000 0.5000
Au1 Au 0.0000 0.0000 0.0000
Au2 Au 0.0000 0.5000 0.6338
Au3 Au 0.5000 0.5000 0.0000
```

Here is an optimized crystal structure of PrNd3Tc from Alexandria. Energies are from GGA-PBE.

## Properties
- raw total energy (eV per atom) = -5.699
- calculated volume (A^3/atom) = 34.12
- formation enthalpy at 0 K (meV per atom) = 191

Structure (CIF):
```
data_PrNd3Tc
_space_group_name_H-M_alt 'P m -3 m'
_space_group_IT_number 221
_space_group_name_Hall '-P 4 2 3'
_cell_length_a 5.5460
_cell_length_b 5.5460
_cell_length_c 5.5460
_cell_angle_alpha 90.00
_cell_angle_beta 90.00
_cell_angle_gamma 90.00
loop_
_atom_site_label
_atom_site_type_symbol
_atom_site_fract_x
_atom_site_fract_y
_atom_site_fract_z
Pr1 Pr 0.0000 0.0000 0.0000
Nd1 Nd 0.0000 0.5000 0.5000
Tc1 Tc 0.5000 0.5000 0.5000
```

Here is an optimized crystal structure of La2Er3Ga4 from Alexandria. Energies are from GGA-PBE.

## Properties
- raw total energy (eV per atom) = -4.546
- calculated volume (A^3/atom) = 26.26
- formation enthalpy at 0 K (meV per atom) = -584

Structure (CIF):
```
data_La2Er3Ga4
_space_group_name_H-M_alt 'P 1 21/c 1'
_space_group_IT_number 14
_cell_length_a 8.0257
_cell_length_b 8.0237
_cell_length_c 7.6802
_cell_angle_alpha 90.00
_cell_angle_beta 107.13
_cell_angle_gamma 90.00
loop_
_space_group_symop_operation_xyz
'x,y,z'
'-x,-y,-z'
'-x,y+1/2,-z+1/2'
'x,-y+1/2,z+1/2'
loop_
_atom_site_label
_atom_site_type_symbol
_atom_site_fract_x
_atom_site_fract_y
_atom_site_fract_z
La1 La 0.1918 0.1779 0.0750
Er1 Er 0.2444 0.6756 0.2504
Er2 Er 0.5000 0.0000 0.5000
Ga1 Ga 0.0794 0.5332 0.8709
Ga2 Ga 0.4972 0.1172 0.8766
```

Here is an optimized crystal structure of CaV3Ge from Alexandria. Energies are from GGA-PBE.

## Properties
- raw total energy (eV per atom) = -4.692
- calculated volume (A^3/atom) = 17.07
- formation enthalpy at 0 K (meV per atom) = 2103

Structure (CIF):
```
data_CaV3Ge
_space_group_name_H-M_alt 'P m -3 m'
_space_group_IT_number 221
_space_group_name_Hall '-P 4 2 3'
_cell_length_a 4.4027
_cell_length_b 4.4027
_cell_length_c 4.4027
_cell_angle_alpha 90.00
_cell_angle_beta 90.00
_cell_angle_gamma 90.00
loop_
_atom_site_label
_atom_site_type_symbol
_atom_site_fract_x
_atom_site_fract_y
_atom_site_fract_z
Ca1 Ca 0.0000 0.0000 0.0000
V1 V 0.0000 0.0000 0.5000
Ge1 Ge 0.5000 0.5000 0.5000
```

Here is an optimized crystal structure of FeH5 from Alexandria. Energies are from GGA-PBE.

## Properties
- raw total energy (eV per atom) = -3.936
- calculated volume (A^3/atom) = 4.96

Structure (CIF):
```
data_FeH5
_space_group_name_H-M_alt 'C m m m'
_space_group_IT_number 65
_space_group_name_Hall '-C 2 2'
_cell_length_a 2.5893
_cell_length_b 8.9029
_cell_length_c 2.5834
_cell_angle_alpha 90.00
_cell_angle_beta 90.00
_cell_angle_gamma 90.00
loop_
_atom_site_label
_atom_site_type_symbol
_atom_site_fract_x
_atom_site_fract_y
_atom_site_fract_z
Fe1 Fe 0.0000 0.0000 0.0000
H1 H 0.0000 0.1219 0.5000
H2 H 0.0000 0.3779 0.0000
H3 H 0.0000 0.5000 0.5000
```